<i>
{"formula": "Mg2As2Rh", "functional": "PBE", "state": "relaxed", "space_group": "I4/mmm (139)", "density_g_cm3": 4.94, "cell": [[-2.2312, 2.2312, 5.0915], [2.2312, -2.2312, 5.0915], [2.2312, 2.2312, -5.0915]], "species": ["Mg", "Mg", "As", "As", "Rh"], "fractional_positions": [[0.2500, 0.7500, 0.5000], [0.7500, 0.2500, 0.5000], [0.1156, 0.1156, 0.0000], [0.8844, 0.8844, 0.0000], [0.5000, 0.5000, 0.0000]]}

<ii>
{"formula": "Mg2As2Rh", "functional": "PBE", "state": "relaxed", "space_group": "P4/mbm (127)", "density_g_cm3": 5.48, "cell": [[6.5522, 0.0000, 0.0000], [0.0000, 6.5522, 0.0000], [0.0000, 0.0000, 4.2536]], "species": ["Mg", "Mg", "Mg", "Mg", "As", "As", "As", "As", "Rh", "Rh"], "fractional_positions": [[0.1754, 0.3246, 0.0000], [0.3246, 0.8246, 0.0000], [0.6754, 0.1754, 0.0000], [0.8246, 0.6754, 0.0000], [0.1418, 0.6418, 0.5000], [0.3582, 0.1418, 0.5000], [0.6418, 0.8582, 0.5000], [0.8582, 0.3582, 0.5000], [0.0000, 0.0000, 0.5000], [0.5000, 0.5000, 0.5000]]}

Most stable structure - <ii>; separation to the second - 55.3 kJ/mol of atoms.

<i>
{"formula": "MgZr2AsRh", "functional": "PBE", "state": "relaxed", "space_group": "P4/mmm (123)", "density_g_cm3": 5.34, "cell": [[4.9687, 0.0000, 0.0000], [0.0000, 4.9687, 0.0000], [0.0000, 0.0000, 4.8409]], "species": ["Mg", "Zr", "Zr", "As", "Rh"], "fractional_positions": [[0.0000, 0.0000, 0.0000], [0.0000, 0.5000, 0.5000], [0.5000, 0.0000, 0.5000], [0.5000, 0.5000, 0.0000], [0.0000, 0.0000, 0.5000]]}

<ii>
{"formula": "MgZr2AsRh", "functional": "PBE", "state": "relaxed", "space_group": "P4/mmm (123)", "density_g_cm3": 5.50, "cell": [[5.0241, 0.0000, 0.0000], [0.0000, 5.0241, 0.0000], [0.0000, 0.0000, 4.5969]], "species": ["Mg", "Zr", "Zr", "As", "Rh"], "fractional_positions": [[0.0000, 0.0000, 0.0000], [0.0000, 0.5000, 0.5000], [0.5000, 0.0000, 0.5000], [0.5000, 0.5000, 0.5000], [0.5000, 0.5000, 0.0000]]}

Most stable structure - <ii>; separation to the second - 1.3 kJ/mol of atoms.

<i>
{"formula": "Mg3AsS", "functional": "PBE", "state": "relaxed", "space_group": "Pm-3m (221)", "density_g_cm3": 2.40, "cell": [[4.9906, 0.0000, 0.0000], [0.0000, 4.9906, 0.0000], [0.0000, 0.0000, 4.9906]], "species": ["Mg", "Mg", "Mg", "As", "S"], "fractional_positions": [[0.0000, 0.0000, 0.5000], [0.0000, 0.5000, 0.0000], [0.5000, 0.0000, 0.0000], [0.0000, 0.0000, 0.0000], [0.5000, 0.5000, 0.5000]]}

<ii>
{"formula": "Mg3AsS", "functional": "PBE", "state": "relaxed", "space_group": "Pm-3m (221)", "density_g_cm3": 2.67, "cell": [[4.8206, 0.0000, 0.0000], [0.0000, 4.8206, 0.0000], [0.0000, 0.0000, 4.8206]], "species": ["Mg", "Mg", "Mg", "As", "S"], "fractional_positions": [[0.0000, 0.0000, 0.5000], [0.0000, 0.5000, 0.0000], [0.5000, 0.0000, 0.0000], [0.5000, 0.5000, 0.5000], [0.0000, 0.0000, 0.0000]]}

Most stable structure - <ii>; separation to the second - 13.2 kJ/mol of atoms.

<i>
{"formula": "MgAs2SeS", "functional": "PBE", "state": "relaxed", "space_group": "P4/mmm (123)", "density_g_cm3": 4.14, "cell": [[4.8243, 0.0000, 0.0000], [0.0000, 4.8243, 0.0000], [0.0000, 0.0000, 4.9098]], "species": ["Mg", "As", "As", "Se", "S"], "fractional_positions": [[0.0000, 0.0000, 0.0000], [0.0000, 0.5000, 0.5000], [0.5000, 0.0000, 0.5000], [0.5000, 0.5000, 0.0000], [0.5000, 0.5000, 0.5000]]}

<ii>
{"formula": "MgAs2SeS", "functional": "PBE", "state": "relaxed", "space_group": "P4/mmm (123)", "density_g_cm3": 3.88, "cell": [[5.0513, 0.0000, 0.0000], [0.0000, 5.0513, 0.0000], [0.0000, 0.0000, 4.7863]], "species": ["Mg", "As", "As", "Se", "S"], "fractional_positions": [[0.0000, 0.0000, 0.0000], [0.0000, 0.5000, 0.0000], [0.5000, 0.0000, 0.0000], [0.0000, 0.0000, 0.5000], [0.5000, 0.5000, 0.5000]]}

Most stable structure - <i>; separation to the second - 37.4 kJ/mol of atoms.

<i>
{"formula": "MgSb2As", "functional": "PBE", "state": "relaxed", "space_group": "I-4m2 (119)", "density_g_cm3": 5.88, "cell": [[-2.4392, 2.4392, 4.0649], [2.4392, -2.4392, 4.0649], [2.4392, 2.4392, -4.0649]], "species": ["Mg", "Sb", "Sb", "As"], "fractional_positions": [[0.0000, 0.0000, 0.0000], [0.2500, 0.7500, 0.5000], [0.5000, 0.5000, 0.0000], [0.7500, 0.2500, 0.5000]]}

<ii>
{"formula": "MgSb2As", "functional": "PBE", "state": "relaxed", "space_group": "R-3m (166)", "density_g_cm3": 5.52, "cell": [[1.9921, 1.1502, 7.5039], [-1.9921, 1.1502, 7.5039], [0.0000, -2.3003, 7.5039]], "species": ["Mg", "Sb", "Sb", "As"], "fractional_positions": [[0.0000, 0.0000, 0.0000], [0.2447, 0.2447, 0.2447], [0.7553, 0.7553, 0.7553], [0.5000, 0.5000, 0.5000]]}

Most stable structure - <ii>; separation to the second - 10.5 kJ/mol of atoms.

<i>
{"formula": "MgSb2As", "functional": "PBE", "state": "relaxed", "space_group": "Cmmm (65)", "density_g_cm3": 5.86, "cell": [[2.0907, -2.7197, 0.0000], [2.0907, 2.7197, 0.0000], [0.0000, 0.0000, 8.5386]], "species": ["Mg", "Sb", "Sb", "As"], "fractional_positions": [[0.0000, 0.0000, 0.0000], [0.5000, 0.5000, 0.2531], [0.5000, 0.5000, 0.7469], [0.0000, 0.0000, 0.5000]]}

<ii>
{"formula": "MgSb2As", "functional": "PBE", "state": "relaxed", "space_group": "Immm (71)", "density_g_cm3": 5.67, "cell": [[-1.8992, 2.0432, 6.4727], [1.8992, -2.0432, 6.4727], [1.8992, 2.0432, -6.4727]], "species": ["Mg", "Sb", "Sb", "As"], "fractional_positions": [[0.0000, 0.0000, 0.0000], [0.3152, 0.8152, 0.5000], [0.6848, 0.1848, 0.5000], [0.5000, 0.5000, 0.0000]]}

Most stable structure - <ii>; separation to the second - 19.1 kJ/mol of atoms.

<i>
{"formula": "MgSb2As", "functional": "PBE", "state": "relaxed", "space_group": "C2/m (12)", "density_g_cm3": 5.94, "cell": [[3.1830, -5.0662, 0.0000], [3.1830, 5.0662, 0.0000], [-1.0954, 0.0000, 2.9704]], "species": ["Mg", "Sb", "Sb", "As"], "fractional_positions": [[0.0000, 0.0000, 0.0000], [0.0000, 0.5000, 0.5000], [0.5000, 0.0000, 0.5000], [0.5000, 0.5000, 0.0000]]}

<ii>
{"formula": "MgSb2As", "functional": "PBE", "state": "relaxed", "space_group": "Pmm2 (25)", "density_g_cm3": 5.43, "cell": [[3.7863, 0.0000, 0.0000], [0.0000, 4.5041, 0.0000], [0.0000, 0.0000, 6.1405]], "species": ["Mg", "Sb", "Sb", "As"], "fractional_positions": [[0.0000, 0.0000, 0.0000], [0.0000, 0.0000, 0.4828], [0.5000, 0.5000, 0.9593], [0.5000, 0.5000, 0.5292]]}

Most stable structure - <ii>; separation to the second - 16.6 kJ/mol of atoms.

<i>
{"formula": "MgSb2As", "functional": "PBE", "state": "relaxed", "space_group": "Pm (6)", "density_g_cm3": 5.73, "cell": [[3.1311, 0.0000, 0.0000], [0.0000, 3.9380, 0.0000], [-0.0677, 0.0000, 8.0564]], "species": ["Mg", "Sb", "Sb", "As"], "fractional_positions": [[0.0000, 0.0000, 0.0000], [0.4963, 0.5000, 0.2560], [0.4968, 0.0000, 0.5496], [0.4989, 0.5000, 0.8267]]}

<ii>
{"formula": "MgSb2As", "functional": "PBE", "state": "relaxed", "space_group": "P2/m (10)", "density_g_cm3": 5.69, "cell": [[3.0904, 0.0000, 0.0000], [0.0000, 4.0000, 0.0000], [-0.1241, 0.0000, 8.0944]], "species": ["Mg", "Sb", "Sb", "As"], "fractional_positions": [[0.0000, 0.0000, 0.0000], [0.4984, 0.5000, 0.2384], [0.5016, 0.5000, 0.7616], [0.5000, 0.0000, 0.5000]]}

Most stable structure - <i>; separation to the second - 7.5 kJ/mol of atoms.